[1]
The following is a DFT calculation (PBE) of KRbAl2Ni after structural relaxation.

Calculated values
The value obtained for the formation enthalpy at 0 K is 0.8 eV/f.u. The value obtained for the total magnetization is 0.00 μB per cell.

```
KRbAl2Ni
1.0
4.745 0.000 0.000
0.000 4.745 0.000
0.000 0.000 6.061
K Rb Al Ni
1 1 2 1
Direct
0.000 0.000 0.000
0.500 0.500 0.000
0.000 0.500 0.500
0.500 0.000 0.500
0.000 0.000 0.500
```


[2]
The following is a DFT calculation (PBE) of RbTlHg2Br8 after structural relaxation.

Calculated values
The value obtained for the formation energy without anion corrections is -0.67 eV/atom. The value obtained for the total magnetization is 0.00 μB per cell.

```
RbTlHg2Br8
1.0
7.124 0.000 0.000
-0.578 7.638 0.000
-0.716 -3.758 8.900
Rb Tl Hg Br
1 1 2 8
Direct
0.000 0.000 0.000
0.000 0.000 0.500
0.482 0.689 0.206
0.518 0.311 0.794
0.108 0.731 0.213
0.179 0.829 0.649
0.336 0.273 0.543
0.456 0.272 0.046
0.544 0.728 0.954
0.664 0.727 0.457
0.821 0.171 0.351
0.892 0.269 0.787
```


[3]
The following is a DFT calculation (PBE) of Tb5NdBi4 after structural relaxation.

Calculated values
The value obtained for the formation enthalpy at 0 K is -5.8 eV/f.u. The value obtained for the total magnetization is 2.22 μB per cell.

```
Tb5NdBi4
1.0
10.006 -2.225 0.000
10.006 2.225 0.000
-1.607 0.000 7.678
Tb Nd Bi
5 1 4
Direct
0.000 0.000 0.000
0.305 0.305 0.889
0.312 0.312 0.414
0.688 0.688 0.586
0.695 0.695 0.111
0.000 0.000 0.500
0.137 0.137 0.828
0.437 0.437 0.725
0.563 0.563 0.275
0.863 0.863 0.172
```


[4]
The following is a DFT calculation (PBE) of HfI2N2 after structural relaxation.

Calculated values
The value obtained for the formation energy without anion corrections is 1.71 eV/atom. Its distance to the lowest polymorph of the same formula is 1147 meV/atom. The value obtained for the total magnetization is 0.02 μB per cell.

```
HfI2N2
1.0
4.704 0.000 0.000
0.000 4.704 0.000
0.000 0.000 4.038
Hf I N
1 2 2
Direct
0.000 0.000 0.000
0.000 0.500 0.500
0.500 0.000 0.500
0.500 0.500 0.000
0.500 0.500 0.500
```


[5]
The following is a DFT calculation (PBE) of ScOsAuC2 after structural relaxation.

Calculated values
The value obtained for the formation enthalpy at 0 K is 12.4 eV/f.u. The value obtained for the total magnetization is 1.24 μB per cell.

```
ScOsAuC2
1.0
4.131 0.000 0.000
0.000 4.131 0.000
0.000 0.000 5.075
Sc Os Au C
1 1 1 2
Direct
0.000 0.000 0.000
0.000 0.000 0.500
0.500 0.500 0.500
0.000 0.500 0.000
0.500 0.000 0.000
```


[6]
The following is a DFT calculation (PBE) of Zn2TeAs after structural relaxation.

Calculated values
The value obtained for the formation energy without anion corrections is 0.25 eV/atom. Its distance to the lowest polymorph of the same formula is 429 meV/atom. The value obtained for the total magnetization is 0.00 μB per cell.

```
Zn2TeAs
1.0
3.773 0.000 0.000
0.000 3.773 0.000
0.000 0.000 5.842
Zn Te As
2 1 1
Direct
0.000 0.000 0.225
0.000 0.000 0.775
0.500 0.500 0.500
0.500 0.500 0.000
```


[7]
The following is a DFT calculation (PBE) of BaHgOs2 after structural relaxation.

Calculated values
The value obtained for the formation enthalpy at 0 K is 5.4 eV/f.u. The value obtained for the total magnetization is 0.14 μB per cell.

```
BaHgOs2
1.0
3.057 0.000 0.000
0.000 5.197 0.000
0.000 0.000 5.271
Ba Hg Os
1 1 2
Direct
0.000 0.000 0.000
0.500 0.000 0.500
0.000 0.500 0.500
0.500 0.500 0.000
```


[8]
The following is a DFT calculation (PBE) of Ba4MnAg after structural relaxation.

Calculated values
The value obtained for the formation enthalpy at 0 K is 4.7 eV/f.u. The value obtained for the total magnetization is 2.78 μB per cell.

```
Ba4MnAg
1.0
0.000 5.144 5.144
5.144 0.000 5.144
5.144 5.144 0.000
Ba Mn Ag
4 1 1
Direct
0.125 0.125 0.125
0.125 0.125 0.626
0.125 0.626 0.125
0.626 0.125 0.125
0.750 0.750 0.750
0.500 0.500 0.500
```